BaCeCu2Te4 | PBE | optimized geometry

abc: 7.036 7.036 7.036
angles: 117.69 108.94 102.16
Element x y z (fractional)
Ba1 0.000 0.000 0.000
Ce1 0.500 0.500 0.000
Cu1 0.358 0.858 0.500
Cu2 0.642 0.142 0.500
Te1 0.095 0.047 0.547
Te2 0.500 0.548 0.453
Te3 0.500 0.953 0.048
Te4 0.905 0.452 0.952

Values from the calculation:
Uncorrected energy   -4.318 eV/atom
Energy relative to the elements, uncorrected   -0.741 eV per atom
Symmetry   I222
Magnetic moment   0.162 Bohr magnetons per cell